1.
VASP calculation (PBE) on an optimized crystal structure of Rb3DyBr8.

N(E_F)	1.45	states/eV per atom
uncorrected formation energy	-130.6	kJ/mol of atoms

Cell: 7.766 7.766 15.974 Å, 90.00 90.00 90.00°
Space group I4/mmm (No. 139)
Asymmetric unit:
Rb (0.000, 0.000, 0.000) (multiplicity 2)
Rb (0.000, 0.500, 0.250) (multiplicity 4)
Dy (0.000, 0.000, 0.500) (multiplicity 2)
Br (0.219, 0.219, 0.391) (multiplicity 16)

2.
VASP calculation (PBE) on an optimized crystal structure of Sm2GaCu2Ni5.

N(E_F)	0.46	states/eV per atom
formation energy from the elements	-2.5	eV per formula unit

Cell: 9.089 9.089 3.656 Å, 90.00 90.00 90.00°
Space group P4/mbm (No. 127)
Asymmetric unit:
Sm (0.180, 0.320, 0.000) (multiplicity 4)
Ga (0.000, 0.000, 0.000) (multiplicity 2)
Cu (0.118, 0.618, 0.000) (multiplicity 4)
Ni (0.000, 0.500, 0.500) (multiplicity 2)
Ni (0.057, 0.797, 0.500) (multiplicity 8)

3.
VASP calculation (PBE) on an optimized crystal structure of BeRu.

N(E_F)	0.79	states/eV per atom
formation energy from the elements	-0.1	eV per formula unit

Cell: 3.891 12.522 2.726 Å, 90.00 90.00 90.00°
Space group Pmmn (No. 59, origin choice 2)
Asymmetric unit:
Be (0.250, 0.064, 0.001) (multiplicity 4)
Be (0.250, 0.750, 0.204) (multiplicity 2)
Ru (0.250, 0.250, 0.144) (multiplicity 2)
Ru (0.250, 0.588, 0.500) (multiplicity 4)

4.
VASP calculation (PBE) on an optimized crystal structure of PrPa5As6.

N(E_F)	1.15	states/eV per atom
formation energy from the elements	-13.4	eV per formula unit

Cell: 7.143 12.372 7.143 Å, 90.00 109.47 90.00°
Space group C2/m (No. 12)
Asymmetric unit:
Pr (0.000, 0.000, 0.000) (multiplicity 2)
Pa (0.000, 0.163, 0.500) (multiplicity 4)
Pa (0.000, 0.333, 0.000) (multiplicity 4)
Pa (0.000, 0.500, 0.500) (multiplicity 2)
As (0.243, 0.500, 0.251) (multiplicity 4)
As (0.245, 0.330, 0.745) (multiplicity 8)

5.
VASP calculation (PBE) on an optimized crystal structure of Ac2Nd8Y3.

N(E_F)	1.58	states/eV per atom
formation energy from the elements	2.6	eV per formula unit
ΔE to the lowest computed polymorph	21	meV per atom

Cell: 21.894 7.828 5.699 Å, 90.00 90.01 90.00°
Space group C2/m (No. 12)
Asymmetric unit:
Ac (0.239, 0.000, 0.499) (multiplicity 4)
Nd (0.101, 0.294, 0.500) (multiplicity 8)
Nd (0.122, 0.000, 0.000) (multiplicity 4)
Nd (0.158, 0.500, 0.000) (multiplicity 4)
Y (0.000, 0.000, 0.500) (multiplicity 2)
Y (0.000, 0.287, 0.000) (multiplicity 4)

6.
VASP calculation (PBE) on an optimized crystal structure of DyErCuSn.

N(E_F)	0.87	states/eV per atom
formation energy from the elements	-1.7	eV per formula unit

Cell: 7.239 7.239 7.239 Å, 90.00 90.00 90.00°
Space group F-43m (No. 216)
Asymmetric unit:
Dy (0.000, 0.000, 0.000) (multiplicity 4)
Er (0.000, 0.000, 0.500) (multiplicity 4)
Cu (0.250, 0.250, 0.250) (multiplicity 4)
Sn (0.250, 0.250, 0.750) (multiplicity 4)

7.
VASP calculation (PBE) on an optimized crystal structure of Sr2YAu.

N(E_F)	1.39	states/eV per atom
formation energy from the elements	-0.6	eV per formula unit
ΔE to the lowest computed polymorph	200	meV per atom

Cell: 4.0480 4.0480 31.9564 Å, 90.00 90.00 120.00°
Space group R-3m (No. 166, hexagonal axes)
Asymmetric unit:
Sr (0.0000, 0.0000, 0.2327) (multiplicity 6)
Y (0.0000, 0.0000, 0.0000) (multiplicity 3)
Au (0.0000, 0.0000, 0.5000) (multiplicity 3)

8.
VASP calculation (PBE) on an optimized crystal structure of NaTl3Ag2F6.

N(E_F)	0.00	states/eV per atom
uncorrected formation energy	-156.7	kJ/mol of atoms

Cell: 6.3668 6.3668 6.1984 Å, 90.00 90.00 120.00°
Space group P-3m1 (No. 164)
Asymmetric unit:
Na (0.0000, 0.0000, 0.0000) (multiplicity 1)
Tl (0.0000, 0.0000, 0.5000) (multiplicity 1)
Tl (0.3333, 0.6667, 0.0972) (multiplicity 2)
Ag (0.3333, 0.6667, 0.5374) (multiplicity 2)
F (0.1801, 0.3601, 0.8089) (multiplicity 6)

9.
VASP calculation (PBE) on an optimized crystal structure of PaVHg.

N(E_F)	1.56	states/eV per atom
formation energy from the elements	0.8	eV per formula unit

Cell: 5.541 9.224 9.704 Å, 90.00 90.00 90.00°
Space group Fmmm (No. 69)
Asymmetric unit:
Pa (0.000, 0.000, 0.189) (multiplicity 8)
V (0.250, 0.250, 0.250) (multiplicity 8)
Hg (0.000, 0.166, 0.500) (multiplicity 8)

10.
VASP calculation (PBE) on an optimized crystal structure of DyTlZnPd.

N(E_F)	0.64	states/eV per atom
formation energy from the elements	-1.7	eV per formula unit

Cell: 6.871 6.871 6.871 Å, 90.00 90.00 90.00°
Space group F-43m (No. 216)
Asymmetric unit:
Dy (0.000, 0.000, 0.000) (multiplicity 4)
Tl (0.000, 0.000, 0.500) (multiplicity 4)
Zn (0.250, 0.250, 0.250) (multiplicity 4)
Pd (0.250, 0.250, 0.750) (multiplicity 4)

11.
VASP calculation (PBE) on an optimized crystal structure of LiBeW2.

N(E_F)	0.60	states/eV per atom
formation energy from the elements	1.9	eV per formula unit

Cell: 5.216 8.031 2.634 Å, 90.00 100.17 90.00°
Space group C2/m (No. 12)
Asymmetric unit:
Li (0.000, 0.000, 0.000) (multiplicity 2)
Be (0.000, 0.500, 0.000) (multiplicity 2)
W (0.250, 0.250, 0.500) (multiplicity 4)

12.
VASP calculation (PBE) on an optimized crystal structure of CsTe2Pb.

N(E_F)	1.04	states/eV per atom
uncorrected formation energy	-25.3	kJ/mol of atoms

Cell: 4.5997 4.5997 31.9056 Å, 90.00 90.00 120.00°
Space group R-3m (No. 166, hexagonal axes)
Asymmetric unit:
Cs (0.0000, 0.0000, 0.0000) (multiplicity 3)
Te (0.0000, 0.0000, 0.1106) (multiplicity 6)
Pb (0.0000, 0.0000, 0.5000) (multiplicity 3)

13.
VASP calculation (PBE) on an optimized crystal structure of ErCuAgPb.

N(E_F)	0.32	states/eV per atom
formation energy from the elements	-0.7	eV per formula unit

Cell: 6.961 6.961 6.961 Å, 90.00 90.00 90.00°
Space group F-43m (No. 216)
Asymmetric unit:
Er (0.000, 0.000, 0.000) (multiplicity 4)
Cu (0.250, 0.250, 0.250) (multiplicity 4)
Ag (0.250, 0.250, 0.750) (multiplicity 4)
Pb (0.000, 0.000, 0.500) (multiplicity 4)

14.
VASP calculation (PBE) on an optimized crystal structure of Ac5Pr2Sn5.

N(E_F)	0.57	states/eV per atom
formation energy from the elements	-6.5	eV per formula unit

Cell: 15.759 4.722 13.630 Å, 90.00 108.99 90.00°
Space group C2/m (No. 12)
Asymmetric unit:
Ac (0.000, 0.000, 0.000) (multiplicity 2)
Ac (0.160, 0.000, 0.545) (multiplicity 4)
Ac (0.236, 0.000, 0.851) (multiplicity 4)
Pr (0.048, 0.500, 0.290) (multiplicity 4)
Sn (0.000, 0.500, 0.500) (multiplicity 2)
Sn (0.113, 0.500, 0.918) (multiplicity 4)
Sn (0.188, 0.000, 0.295) (multiplicity 4)

15.
VASP calculation (PBE) on an optimized crystal structure of TiNbAs3.

N(E_F)	1.68	states/eV per atom
formation energy from the elements	2.9	eV per formula unit

Cell: 4.782 4.782 4.782 Å, 90.00 90.00 90.00°
Space group Pm-3m (No. 221)
Asymmetric unit:
Ti (0.000, 0.000, 0.000) (multiplicity 1)
Nb (0.500, 0.500, 0.500) (multiplicity 1)
As (0.000, 0.000, 0.500) (multiplicity 3)

16.
VASP calculation (PBE) on an optimized crystal structure of KBiRh2Pb2.

N(E_F)	0.71	states/eV per atom
formation energy from the elements	0.3	eV per formula unit

Cell: 5.106 5.106 6.895 Å, 90.00 90.00 90.00°
Space group P4/mmm (No. 123)
Asymmetric unit:
K (0.000, 0.000, 0.000) (multiplicity 1)
Bi (0.000, 0.000, 0.500) (multiplicity 1)
Rh (0.000, 0.500, 0.500) (multiplicity 2)
Pb (0.500, 0.500, 0.265) (multiplicity 2)

17.
VASP calculation (PBE) on an optimized crystal structure of MgTaH.

N(E_F)	0.43	states/eV per atom
ΔE to the lowest computed polymorph	82	meV per atom

Cell: 5.095 3.087 5.290 Å, 90.00 90.22 90.00°
Space group Pm (No. 6)
Asymmetric unit:
Mg (0.000, 0.000, 0.000) (multiplicity 1)
Mg (0.009, 0.500, 0.510) (multiplicity 1)
Ta (0.497, 0.000, 0.687) (multiplicity 1)
Ta (0.505, 0.500, 0.147) (multiplicity 1)
H (0.364, 0.000, 0.334) (multiplicity 1)
H (0.614, 0.500, 0.501) (multiplicity 1)

18.
VASP calculation (PBE) on an optimized crystal structure of DySbH.

N(E_F)	0.51	states/eV per atom
ΔE to the lowest computed polymorph	257	meV per atom

Cell: 4.249 4.249 13.937 Å, 90.00 90.00 90.00°
Space group I4/mmm (No. 139)
Asymmetric unit:
Dy (0.000, 0.000, 0.169) (multiplicity 4)
Sb (0.000, 0.500, 0.000) (multiplicity 4)
H (0.000, 0.500, 0.250) (multiplicity 4)

19.
VASP calculation (PBE) on an optimized crystal structure of Y12TlRh6.

N(E_F)	0.91	states/eV per atom
formation energy from the elements	-11.1	eV per formula unit

Cell: 9.925 9.925 9.925 Å, 90.00 90.00 90.00°
Space group Im-3 (No. 204)
Asymmetric unit:
Y (0.000, 0.191, 0.300) (multiplicity 24)
Tl (0.000, 0.000, 0.000) (multiplicity 2)
Rh (0.000, 0.372, 0.500) (multiplicity 12)

20.
VASP calculation (PBE) on an optimized crystal structure of Tl3TePt.

N(E_F)	0.32	states/eV per atom
ΔE to the lowest computed polymorph	0	meV per atom
uncorrected formation energy	-15.8	kJ/mol of atoms

Cell: 5.388 5.388 5.388 Å, 90.00 90.00 90.00°
Space group Pm-3m (No. 221)
Asymmetric unit:
Tl (0.000, 0.000, 0.500) (multiplicity 3)
Te (0.500, 0.500, 0.500) (multiplicity 1)
Pt (0.000, 0.000, 0.000) (multiplicity 1)

21.
VASP calculation (PBE) on an optimized crystal structure of MgScPtPb.

N(E_F)	0.78	states/eV per atom
formation energy from the elements	-2.2	eV per formula unit

Cell: 6.852 6.852 6.852 Å, 90.00 90.00 90.00°
Space group F-43m (No. 216)
Asymmetric unit:
Mg (0.000, 0.000, 0.000) (multiplicity 4)
Sc (0.000, 0.000, 0.500) (multiplicity 4)
Pt (0.250, 0.250, 0.250) (multiplicity 4)
Pb (0.250, 0.250, 0.750) (multiplicity 4)

22.
VASP calculation (PBE) on an optimized crystal structure of Na6Sn2Pd.

N(E_F)	0.42	states/eV per atom
formation energy from the elements	-1.4	eV per formula unit
ΔE to the lowest computed polymorph	32	meV per atom

Cell: 8.679 16.262 3.580 Å, 90.00 104.26 90.00°
Space group C2/m (No. 12)
Asymmetric unit:
Na (0.179, 0.174, 0.279) (multiplicity 8)
Na (0.204, 0.000, 0.812) (multiplicity 4)
Sn (0.000, 0.368, 0.000) (multiplicity 4)
Pd (0.000, 0.500, 0.500) (multiplicity 2)

23.
VASP calculation (PBE) on an optimized crystal structure of RbPb2IO2.

N(E_F)	0.00	states/eV per atom
uncorrected formation energy	-107.2	kJ/mol of atoms

Cell: 7.703 6.380 7.961 Å, 90.00 91.54 90.00°
Space group P2_1/m (No. 11)
Asymmetric unit:
Rb (0.138, 0.250, 0.106) (multiplicity 2)
Pb (0.128, 0.250, 0.621) (multiplicity 2)
Pb (0.345, 0.750, 0.773) (multiplicity 2)
I (0.322, 0.750, 0.355) (multiplicity 2)
O (0.157, 0.000, 0.804) (multiplicity 4)

24.
VASP calculation (PBE) on an optimized crystal structure of Al2MoCl.

N(E_F)	0.75	states/eV per atom
ΔE to the lowest computed polymorph	703	meV per atom
uncorrected formation energy	33.0	kJ/mol of atoms

Cell: 2.842 4.637 5.007 Å, 90.00 90.00 90.00°
Space group Pmmm (No. 47)
Asymmetric unit:
Al (0.000, 0.000, 0.000) (multiplicity 1)
Al (0.500, 0.500, 0.000) (multiplicity 1)
Mo (0.000, 0.500, 0.500) (multiplicity 1)
Cl (0.500, 0.000, 0.500) (multiplicity 1)